A geometry-optimized ZrZnGa3 structure. Source: the Alexandria database, functional PBE-GGA.

a = 4.6896 Å, b = 4.6896 Å, c = 4.6896 Å
α = 90.00°, β = 90.00°, γ = 90.00°
Fractional coordinates of all 5 atoms:
Ga 0.0000 0.0000 0.5000
Ga 0.0000 0.5000 0.0000
Ga 0.5000 0.0000 0.0000
Zr 0.5000 0.5000 0.5000
Zn 0.0000 0.0000 0.0000

E_tot ... -16.983 eV/f.u.
Total magnetization ... 0.0 μB per cell
Symmetry ... Pm-3m


A geometry-optimized Zr6ZnGa structure. Source: the Alexandria database, functional PBE-GGA.

a = 7.7865 Å, b = 7.7870 Å, c = 5.5038 Å
α = 45.04°, β = 45.05°, γ = 60.04°
Fractional coordinates of all 8 atoms:
Zn 0.0000 0.0000 0.0000
Zr 0.7503 0.0002 0.7493
Zr 0.4999 0.2495 0.2506
Zr 0.0009 0.4996 0.7491
Zr 0.9991 0.5004 0.2509
Zr 0.5001 0.7505 0.7494
Zr 0.2497 0.9998 0.2507
Ga 0.5000 0.5000 0.5000

E_tot ... -57.356 eV/f.u.
Distance to the lowest polymorph of the same formula ... 0.000 eV per atom
Total magnetization ... 0.0 μB per cell
Symmetry ... P2/m


A geometry-optimized ZrZnGa2 structure. Source: the Alexandria database, functional PBE-GGA.

a = 4.1372 Å, b = 4.1372 Å, c = 5.3614 Å
α = 67.30°, β = 67.30°, γ = 60.00°
Fractional coordinates of all 4 atoms:
Ga 0.2270 0.2270 0.3191
Ga 0.7730 0.7730 0.6809
Zr 0.0000 0.0000 0.0000
Zn 0.5000 0.5000 0.5000

E_tot ... -16.878 eV/f.u.
Total magnetization ... 0.0 μB per cell
Symmetry ... R-3m


A geometry-optimized Zr3ZnGa3 structure. Source: the Alexandria database, functional PBE-GGA.

a = 4.0207 Å, b = 5.5199 Å, c = 12.8141 Å
α = 83.51°, β = 80.97°, γ = 68.64°
Fractional coordinates of all 14 atoms:
Zn 0.2329 0.9199 0.6144
Zn 0.7671 0.0801 0.3856
Zr 0.2603 0.2555 0.2239
Zr 0.6078 0.7066 0.0778
Zr 0.3922 0.2934 0.9222
Zr 0.5159 0.3408 0.6273
Zr 0.7397 0.7445 0.7761
Zr 0.4841 0.6592 0.3727
Ga 0.9829 0.8084 0.2258
Ga 0.1309 0.2826 0.4557
Ga 0.8845 0.1574 0.0737
Ga 0.8691 0.7174 0.5443
Ga 0.1155 0.8426 0.9263
Ga 0.0171 0.1916 0.7742

E_tot ... -39.894 eV/f.u.
Total magnetization ... 0.0 μB per cell
Symmetry ... C2/m


A geometry-optimized ZrZnGa3 structure. Source: the Alexandria database, functional PBE-GGA.

a = 5.2947 Å, b = 5.2947 Å, c = 5.2947 Å
α = 90.00°, β = 90.00°, γ = 90.00°
Fractional coordinates of all 5 atoms:
Zn 0.5000 0.5000 0.5000
Ga 0.0000 0.0000 0.5000
Ga 0.0000 0.5000 0.0000
Ga 0.5000 0.0000 0.0000
Zr 0.0000 0.0000 0.0000

E_tot ... -15.456 eV/f.u.
Total magnetization ... 0.0 μB per cell
Symmetry ... Pm-3m


A geometry-optimized Zr2ZnGa3 structure. Source: the Alexandria database, functional PBE-GGA.

a = 5.4173 Å, b = 5.4173 Å, c = 8.5814 Å
α = 113.29°, β = 113.29°, γ = 75.36°
Fractional coordinates of all 12 atoms:
Ga 0.6636 0.6636 0.8323
Ga 0.8313 0.8313 0.1677
Ga 0.1687 0.1687 0.8323
Ga 0.8317 0.8317 0.6633
Ga 0.1683 0.1683 0.3367
Ga 0.3364 0.3364 0.1677
Zr 0.2484 0.7516 0.0000
Zr 0.7516 0.2484 0.0000
Zr 0.2500 0.7500 0.5000
Zr 0.7500 0.2500 0.5000
Zn 0.6666 0.6666 0.3332
Zn 0.3334 0.3334 0.6668

E_tot ... -30.366 eV/f.u.
Total magnetization ... 0.0 μB per cell
Symmetry ... Fmmm